(1)
NaCu | GGA-PBE | optimized geometry

Cell lengths 5.813, 5.813, 5.813 Å; angles 90.00, 90.00, 90.00 degrees
Space group Fm-3m (No. 225)
Symmetry-distinct sites (fractional):
Na1 0.000 0.000 0.000 (multiplicity 4)
Cu1 0.000 0.000 0.500 (multiplicity 4)

## Properties
Its total energy is -1.9413 eV per atom.

(2)
Na2NbCuS4 | GGA-PBE | optimized geometry

Cell lengths 6.770, 6.770, 5.540 Å; angles 90.00, 90.00, 90.00 degrees
Space group P-42m (No. 111)
Symmetry-distinct sites (fractional):
Na1 0.000 0.500 0.000 (multiplicity 2)
Nb1 0.000 0.000 0.000 (multiplicity 1)
Cu1 0.000 0.000 0.500 (multiplicity 1)
S1 0.195 0.195 0.753 (multiplicity 4)

## Properties
The total moment is 0.0 μB per formula unit. Its total energy is -5.0480 eV per atom.